! MgCrCl2 | Alexandria | GGA-PBEsol | relaxed; values from VASP
! **Total energy**: -4.46 eV per atom
&SYSTEM
  ibrav = 0, nat = 4, ntyp = 3
/
ATOMIC_SPECIES
Cr 52.00 Cr.upf
Mg 24.30 Mg.upf
Cl 35.45 Cl.upf
ATOMIC_POSITIONS angstrom
Cr -4.408 3.270 0.459
Mg -6.650 5.068 1.190
Cl -4.470 1.121 -0.872
Cl -2.684 2.173 1.945
CELL_PARAMETERS angstrom
-0.199 3.055 -1.014
-5.789 0.978 -1.042
-2.294 3.069 4.567